Computed, not measured: Mg2TlW after structural relaxation at the PBE-GGA level of DFT.

For the energy of formation from the pure elements, the calculation gives 0.5147 eV/atom. Its space group is No. 99. The value obtained for the energy is -4.112 eV/atom.

a b c (Å): 2.9280 2.9280 9.5967
angles (deg): 90.00 90.00 90.00
Last column: nearest neighbours and their distance in Å.
Sites, in units of the cell vectors:
Mg 0.0000 0.0000 0.0000  8 Mg 2.93-3.22, 4 W 2.95
Mg 0.5000 0.5000 0.2563  8 Mg 2.93-3.22
Tl 0.0000 0.0000 0.5306  4 Tl 2.93, 4 W 3.17
W 0.5000 0.5000 0.7805  4 W 2.93, 4 Mg 2.95, 4 Tl 3.17